(1)
Here is Pm2Y7Tl2 after structural relaxation from the Alexandria database. Energies are from PBE-GGA.

Unit cell a=7.688 b=7.688 c=6.591 alpha=104.54 beta=104.54 gamma=101.73
Positions (direct):
Pm1 0.139 0.861 0.000
Pm2 0.861 0.139 0.000
Y1 0.000 0.000 0.500
Y2 0.064 0.575 0.301
Y3 0.335 0.335 0.032
Y4 0.425 0.936 0.699
Y5 0.575 0.064 0.301
Y6 0.665 0.665 0.968
Y7 0.936 0.425 0.699
Tl1 0.329 0.329 0.521
Tl2 0.671 0.671 0.479

The spin magnetization is 0.00 μB per cell. The total energy comes out at -58.9 eV/cell.



(2)
Here is NdSm2HoS6 after structural relaxation from the Alexandria database. Energies are from PBE-GGA.

Unit cell a=7.463 b=7.463 c=7.463 alpha=56.53 beta=56.53 gamma=56.53
Positions (direct):
Nd1 0.000 0.000 0.000
Sm1 0.292 0.292 0.292
Sm2 0.795 0.795 0.795
Ho1 0.495 0.495 0.495
S1 0.102 0.687 0.401
S2 0.204 0.598 0.885
S3 0.401 0.102 0.687
S4 0.598 0.885 0.204
S5 0.687 0.401 0.102
S6 0.885 0.204 0.598

The spin magnetization is 0.00 μB per cell. The total energy comes out at -63.8 eV/cell.



Q: Look up the spin magnetization of the first one.
A: 0.00 μB per cell



Q: What is the formula in the second record?
A: NdSm2HoS6



Q: Number 1 is which compound?
A: Pm2Y7Tl2